(1)
! Pu4HSe5, optimized geometry, DFT PBE-GGA; values from VASP
&SYSTEM
  ibrav = 0, nat = 10, ntyp = 3
/
ATOMIC_SPECIES
Se 78.96 Se.upf
Pu 244.00 Pu.upf
H 1.01 H.upf
CELL_PARAMETERS angstrom
-2.378 3.149 0.673
-5.831 -4.217 -0.872
6.140 0.156 9.058
ATOMIC_POSITIONS crystal
Se 0.163 0.871 0.325
Se 0.146 0.316 0.291
Se 0.500 0.500 0.000
Se 0.854 0.684 0.709
Se 0.837 0.129 0.675
Pu 0.986 0.194 0.971
Pu 0.726 0.215 0.452
Pu 0.014 0.806 0.029
Pu 0.274 0.785 0.548
H 0.500 0.000 0.000
! * final energy: -89.111 eV per formula unit



(2)
! Pu2H2Se, optimized geometry, DFT PBE-GGA; values from VASP
&SYSTEM
  ibrav = 0, nat = 10, ntyp = 3
/
ATOMIC_SPECIES
Pu 244.00 Pu.upf
H 1.01 H.upf
Se 78.96 Se.upf
CELL_PARAMETERS angstrom
-4.041 -2.626 -3.395
5.373 -0.882 -2.261
-0.492 -2.577 5.556
ATOMIC_POSITIONS crystal
Pu 0.504 0.353 0.703
Pu 0.496 0.647 0.297
Pu 0.850 0.199 0.203
Pu 0.150 0.801 0.797
H 0.506 0.748 0.976
H 0.271 0.529 0.524
H 0.729 0.471 0.476
H 0.494 0.252 0.024
Se 0.955 0.205 0.750
Se 0.045 0.795 0.250
! * distance to the lowest polymorph of the same formula: 11 meV/atom